# 1
VASP calculation (PBEsol) on a geometry-optimized Sc2TlHg structure.

abc: 7.003 7.003 7.003
angles: 90.00 90.00 90.00
Element x y z (fractional)
Sc 0.250 0.250 0.250
Sc 0.250 0.250 0.750
Sc 0.250 0.750 0.250
Sc 0.250 0.750 0.750
Sc 0.750 0.250 0.250
Sc 0.750 0.250 0.750
Sc 0.750 0.750 0.250
Sc 0.750 0.750 0.750
Tl 0.000 0.000 0.000
Tl 0.000 0.500 0.500
Tl 0.500 0.000 0.500
Tl 0.500 0.500 0.000
Hg 0.000 0.000 0.500
Hg 0.000 0.500 0.000
Hg 0.500 0.000 0.000
Hg 0.500 0.500 0.500

Computed properties:
The density of states at the Fermi level comes out at 16.81 states/eV per cell. The total magnetic moment comes out at 1.7 μB per cell. The value obtained for the calculated formation energy is -0.45 eV per atom. For the total energy, the calculation gives -4.554 eV per atom.

# 2
VASP calculation (PBEsol) on a geometry-optimized Sc2TlHg structure.

abc: 3.478 3.478 7.106
angles: 90.00 90.00 90.00
Element x y z (fractional)
Sc 0.000 0.000 0.242
Sc 0.000 0.000 0.758
Tl 0.500 0.500 0.500
Hg 0.500 0.500 0.000

Computed properties:
The density of states at the Fermi level comes out at 4.33 states/eV per cell. The total magnetic moment comes out at 0.2 μB per cell. The value obtained for the calculated formation energy is -0.45 eV per atom. For the total energy, the calculation gives -4.553 eV per atom.

# 3
VASP calculation (PBEsol) on a geometry-optimized ScTlHg structure.

abc: 4.755 4.755 3.413
angles: 90.00 90.00 120.00
Element x y z (fractional)
Sc 0.000 0.000 0.000
Tl 0.667 0.333 0.392
Hg 0.333 0.667 0.642

Computed properties:
The density of states at the Fermi level comes out at 1.97 states/eV per cell. The total magnetic moment comes out at 0.0 μB per cell. The value obtained for the calculated formation energy is -0.26 eV per atom. For the total energy, the calculation gives -3.530 eV per atom.

Q: calculated formation energy of number 2 (Sc2TlHg)?
A: -0.45 eV per atom